Record 1
# TbHRh3

A geometry-optimized TbHRh3 structure (PBE, the Alexandria database).

Computed properties:
* final energy: -0.4783 Ry/atom

Cell: 4.090 4.090 4.090 Å, 90.00 90.00 90.00°
Element x y z (fractional)
Tb (0.000, 0.000, 0.000)
H (0.500, 0.500, 0.500)
Rh (0.000, 0.500, 0.500)
Rh (0.500, 0.000, 0.500)
Rh (0.500, 0.500, 0.000)

Record 2
# TbH2Rh3

A geometry-optimized TbH2Rh3 structure (PBE, the Alexandria database).

Computed properties:
* final energy: -0.4234 Ry/atom

Cell: 5.365 5.365 2.924 Å, 90.00 90.00 120.00°
Element x y z (fractional)
Tb (0.000, 0.000, 0.000)
H (0.333, 0.667, 0.000)
H (0.667, 0.333, 0.000)
Rh (0.000, 0.500, 0.500)
Rh (0.500, 0.000, 0.500)
Rh (0.500, 0.500, 0.500)

Q: Look up the final energy of the first one.
A: -0.4783 Ry/atom

Q: The highest final energy belongs to which entry?
A: TbH2Rh3